Here is an optimized crystal structure of Ru2Pt from Alexandria via LeMat-Bulk. Energies are from GGA-PBE.

## Properties
The value obtained for the total energy is -7.387 eV/atom. The total magnetization is 0.00 μB per cell. The calculated formation energy comes out at 811 meV per atom. The energy above the most stable polymorph in this dataset is 0.830 eV/atom. Its space group is P-3m1.

Cell: 3.5566 3.5566 4.6776 Å, 90.00 90.00 120.00°
Last column: nearest neighbours and their distance in Å.
Fractional positions:
Ru 0.3333 0.6667 0.3723  3 Ru 2.38
Ru 0.6667 0.3333 0.6277  3 Ru 2.38
Pt 0.0000 0.0000 0.0000  6 Ru 2.69


Here is an optimized crystal structure of Ru5Pt7 from Alexandria via LeMat-Bulk. Energies are from GGA-PBE.

## Properties
The value obtained for the total energy is -7.412 eV/atom. The total magnetization is 0.00 μB per cell. The calculated formation energy comes out at -23 meV per atom. Its space group is Cm.

Cell: 6.1882 6.1882 8.7554 Å, 115.02 115.02 36.58°
Last column: nearest neighbours and their distance in Å.
Fractional positions:
Ru 0.0000 0.0000 0.0000  5 Ru 2.64-2.82, 7 Pt 2.69-2.89
Ru 0.0740 0.0740 0.7533  3 Ru 2.66-2.74, 9 Pt 2.71-2.85
Ru 0.2402 0.2402 0.2328  7 Pt 2.64-2.86, 5 Ru 2.64-2.67
Ru 0.6530 0.6530 0.9999  7 Ru 2.65-2.74, 5 Pt 2.66-2.78
Ru 0.8955 0.8955 0.2341  4 Ru 2.66-2.82, 8 Pt 2.70-2.86
Pt 0.1539 0.1539 0.4908  9 Pt 2.77-2.88, 3 Ru 2.85-2.86
Pt 0.3204 0.3204 0.9949  8 Ru 2.64-2.85, 4 Pt 2.74-2.77
Pt 0.4124 0.4124 0.7529  5 Ru 2.69-2.74, 7 Pt 2.77-2.88
Pt 0.4853 0.4853 0.4877  7 Pt 2.73-2.82, 5 Ru 2.75-2.85
Pt 0.5712 0.5712 0.2381  7 Ru 2.66-2.82, 5 Pt 2.76-2.81
Pt 0.7367 0.7367 0.7490  8 Pt 2.74-2.85, 4 Ru 2.74-2.89
Pt 0.8244 0.8244 0.4932  8 Pt 2.73-2.85, 4 Ru 2.75-2.82